A plane-wave DFT calculation with PBEsol was carried out for a geometry-optimized Nb2TcOs structure.

abc: 4.4697 4.4697 4.4697
angles: 60.00 60.00 60.00
Element x y z (fractional)
Nb 0.7500 0.7500 0.7500
Nb 0.2500 0.2500 0.2500
Os 0.5000 0.5000 0.5000
Tc 0.0000 0.0000 0.0000

- DOS(E_F): 0.70 states/eV/atom
- Electronic total energy: -46.03 eV per cell
- Total magnetization: 0.00 μB per cell
- Calculated density: 12.466 g/cm3
- DFT formation energy: -225 meV/atom